DFT (GGA-PBE) results for a relaxed structure of BiPPt6.

Unit cell a=6.516 b=6.516 c=5.587 alpha=54.33 beta=54.33 gamma=60.00
Fractional positions:
1 Bi 0.500 0.500 0.500
2 P 0.000 0.000 0.000
3 Pt 0.134 0.134 0.188
4 Pt 0.134 0.544 0.188
5 Pt 0.456 0.866 0.812
6 Pt 0.866 0.456 0.812
7 Pt 0.866 0.866 0.812
8 Pt 0.544 0.134 0.188

## Properties
formation energy: 0.032 eV/atom
Fermi-level density of states: 6.537 states/eV/cell

DFT (GGA-PBE) results for a relaxed structure of Ce2Nd3ThTe6.

Unit cell a=4.471 b=9.023 c=10.059 alpha=103.54 beta=102.84 gamma=90.00
Fractional positions:
1 Ce 0.834 0.667 0.668
2 Ce 0.166 0.333 0.332
3 Nd 0.500 0.500 0.000
4 Nd 0.834 0.166 0.669
5 Nd 0.166 0.834 0.331
6 Th 0.500 0.000 0.000
7 Te 0.333 0.915 0.666
8 Te 0.667 0.584 0.334
9 Te 0.667 0.085 0.334
10 Te 0.000 0.251 0.000
11 Te 0.000 0.749 0.000
12 Te 0.333 0.416 0.666

## Properties
Fermi-level density of states: 19.092 states/eV/cell
raw formation energy: -1.34 eV per atom

DFT (GGA-PBE) results for a relaxed structure of CdGaPd6.

Unit cell a=3.996 b=3.996 c=7.880 alpha=90.00 beta=90.00 gamma=90.00
Fractional positions:
1 Cd 0.000 0.000 0.000
2 Ga 0.000 0.000 0.500
3 Pd 0.500 0.500 0.000
4 Pd 0.500 0.500 0.500
5 Pd 0.500 0.000 0.262
6 Pd 0.500 0.000 0.738
7 Pd 0.000 0.500 0.262
8 Pd 0.000 0.500 0.738

## Properties
formation energy: -0.335 eV/atom
Fermi-level density of states: 11.534 states/eV/cell
ΔE to the lowest computed polymorph: 0 meV per atom

DFT (GGA-PBE) results for a relaxed structure of Ca3GaTc.

Unit cell a=5.402 b=5.402 c=5.402 alpha=90.00 beta=90.00 gamma=90.00
Fractional positions:
1 Ca 0.000 0.500 0.000
2 Ca 0.000 0.000 0.500
3 Ca 0.500 0.000 0.000
4 Tc 0.000 0.000 0.000
5 Ga 0.500 0.500 0.500

## Properties
formation energy: 0.536 eV/atom
Fermi-level density of states: 5.935 states/eV/cell
ΔE to the lowest computed polymorph: 0 meV per atom

DFT (GGA-PBE) results for a relaxed structure of TaTlZn2.

Unit cell a=3.187 b=3.187 c=7.171 alpha=90.00 beta=90.00 gamma=90.00
Fractional positions:
1 Ta 0.000 0.000 0.460
2 Tl 0.500 0.500 0.762
3 Zn 0.000 0.000 0.044
4 Zn 0.500 0.500 0.233

## Properties
formation energy: 0.344 eV/atom
Fermi-level density of states: 1.681 states/eV/cell
ΔE to the lowest computed polymorph: 137 meV per atom

DFT (GGA-PBE) results for a relaxed structure of NpCdRhO6.

Unit cell a=5.227 b=5.227 c=10.306 alpha=90.00 beta=90.00 gamma=120.00
Fractional positions:
1 Np 0.667 0.333 0.250
2 Np 0.333 0.667 0.750
3 Cd 0.000 0.000 0.000
4 Cd 0.000 0.000 0.500
5 Rh 0.333 0.667 0.250
6 Rh 0.667 0.333 0.750
7 O 0.650 0.650 0.139
8 O 0.000 0.350 0.139
9 O 0.350 0.000 0.639
10 O 0.000 0.650 0.861
11 O 0.350 0.350 0.361
12 O 0.000 0.650 0.361
13 O 0.650 0.000 0.861
14 O 0.650 0.000 0.361
15 O 0.000 0.350 0.639
16 O 0.350 0.000 0.139
17 O 0.650 0.650 0.639
18 O 0.350 0.350 0.861

## Properties
Fermi-level density of states: 2.409 states/eV/cell
raw formation energy: -1.71 eV per atom

DFT (GGA-PBE) results for a relaxed structure of RbBiPbCl6.

Unit cell a=7.421 b=7.421 c=14.197 alpha=90.00 beta=90.00 gamma=120.00
Fractional positions:
1 Rb 0.000 0.000 0.000
2 Rb 0.000 0.000 0.500
3 Bi 0.667 0.333 0.250
4 Bi 0.333 0.667 0.750
5 Pb 0.333 0.667 0.250
6 Pb 0.667 0.333 0.750
7 Cl 0.640 0.621 0.138
8 Cl 0.982 0.360 0.138
9 Cl 0.360 0.982 0.638
10 Cl 0.018 0.640 0.862
11 Cl 0.379 0.360 0.362
12 Cl 0.982 0.621 0.362
13 Cl 0.621 0.982 0.862
14 Cl 0.640 0.018 0.362
15 Cl 0.018 0.379 0.638
16 Cl 0.379 0.018 0.138
17 Cl 0.621 0.640 0.638
18 Cl 0.360 0.379 0.862

## Properties
Fermi-level density of states: 0.000 states/eV/cell
raw formation energy: -1.30 eV per atom

DFT (GGA-PBE) results for a relaxed structure of HfInTe2.

Unit cell a=3.585 b=3.585 c=8.393 alpha=90.00 beta=90.00 gamma=90.00
Fractional positions:
1 Te 0.000 0.000 0.797
2 Te 0.000 0.000 0.203
3 Hf 0.500 0.500 0.000
4 In 0.500 0.500 0.500

## Properties
Fermi-level density of states: 2.391 states/eV/cell
raw formation energy: -0.42 eV per atom

DFT (GGA-PBE) results for a relaxed structure of LiCa2Ge2.

Unit cell a=4.437 b=5.966 c=9.722 alpha=82.79 beta=76.81 gamma=68.17
Fractional positions:
1 Li 0.776 0.081 0.368
2 Li 0.224 0.919 0.632
3 Ca 0.314 0.269 0.103
4 Ca 0.509 0.311 0.671
5 Ca 0.686 0.731 0.897
6 Ca 0.491 0.689 0.329
7 Ge 0.985 0.144 0.887
8 Ge 0.130 0.309 0.431
9 Ge 0.015 0.856 0.113
10 Ge 0.870 0.691 0.569

## Properties
formation energy: -0.569 eV/atom
Fermi-level density of states: 4.777 states/eV/cell

DFT (GGA-PBE) results for a relaxed structure of LaAg2Mo.

Unit cell a=5.536 b=5.536 c=5.536 alpha=133.94 beta=133.94 gamma=67.18
Fractional positions:
1 Ag 0.000 0.000 0.000
2 Ag 0.500 0.500 0.000
3 La 0.250 0.750 0.500
4 Mo 0.750 0.250 0.500

## Properties
formation energy: 0.416 eV/atom
Fermi-level density of states: 3.524 states/eV/cell
ΔE to the lowest computed polymorph: 50 meV per atom

DFT (GGA-PBE) results for a relaxed structure of Na4Sc3SnS8.

Unit cell a=7.651 b=7.960 c=7.650 alpha=118.75 beta=120.00 gamma=90.00
Fractional positions:
1 Na 0.500 0.000 0.000
2 Na 0.500 0.000 0.500
3 Na 0.000 0.000 0.000
4 Na 0.000 0.000 0.500
5 Sc 0.500 0.500 0.000
6 Sc 0.500 0.500 0.500
7 Sc 0.000 0.500 0.500
8 Sn 0.000 0.500 0.000
9 S 0.243 0.717 0.974
10 S 0.243 0.717 0.487
11 S 0.261 0.284 0.522
12 S 0.731 0.717 0.974
13 S 0.269 0.283 0.026
14 S 0.739 0.716 0.478
15 S 0.757 0.283 0.513
16 S 0.757 0.283 0.026

## Properties
Fermi-level density of states: 1.332 states/eV/cell
raw formation energy: -1.48 eV per atom

DFT (GGA-PBE) results for a relaxed structure of AlRu2W.

Unit cell a=6.797 b=6.797 c=5.567 alpha=52.37 beta=52.37 gamma=90.00
Fractional positions:
1 Ru 0.636 0.125 0.250
2 Ru 0.114 0.625 0.250
3 Ru 0.375 0.364 0.750
4 Ru 0.875 0.886 0.750
5 Al 0.500 0.500 0.000
6 Al 0.250 0.750 0.500
7 W 0.000 0.000 0.000
8 W 0.750 0.250 0.500

## Properties
formation energy: 0.472 eV/atom
Fermi-level density of states: 4.904 states/eV/cell